The following is a DFT calculation (PBE) of a relaxed Sr2TeHPd crystal.

Output
E above lowest polymorph, meV/atom: 174
Crystal system: tetragonal
Spin magnetization, μB per formula unit: 0.00
Total energy, eV/atom: -3.71

Geometry as CIF:
```
data_Sr2TeHPd
_symmetry_space_group_name_H-M 'P 4/m m m'
_symmetry_Int_Tables_number 123
_symmetry_space_group_name_Hall '-P 4 2'
_cell_length_a 5.7831
_cell_length_b 5.7831
_cell_length_c 3.9439
_cell_angle_alpha 90.00
_cell_angle_beta 90.00
_cell_angle_gamma 90.00
loop_
_atom_site_label
_atom_site_fract_x
_atom_site_fract_y
_atom_site_fract_z
Sr1 0.0000 0.5000 0.0000
Te1 0.0000 0.0000 0.5000
H1 0.5000 0.5000 0.5000
Pd1 0.5000 0.5000 0.0000
```